A relaxed TaZnSb crystal. Source: the Alexandria database, functional PBE.

abc: 7.9904 7.8585 3.0071
angles: 81.54 76.60 21.85
Closest atoms and distances in Å follow each position.
Element x y z (fractional)
Sb 0.9717 0.9717 0.0283  4 Ta 2.89-3.23, 4 Sb 3.01
Zn 0.7010 0.7010 0.2990  2 Ta 2.68
Ta 0.3273 0.3273 0.6727  2 Zn 2.68, 2 Sb 2.89

A relaxed TaZnSb3 crystal. Source: the Alexandria database, functional PBE.

Summary:
**Relative energy among the computed polymorphs**: 0.698 eV per atom

abc: 5.0929 5.0929 5.0929
angles: 90.00 90.00 90.00
Closest atoms and distances in Å follow each position.
Element x y z (fractional)
Sb 0.0000 0.5000 0.0000  2 Zn 2.55
Sb 0.0000 0.0000 0.5000  2 Zn 2.55
Sb 0.5000 0.0000 0.0000  2 Zn 2.55
Zn 0.0000 0.0000 0.0000  6 Sb 2.55
Ta 0.5000 0.5000 0.5000  12 Sb 3.60

A relaxed TaZnSb2 crystal. Source: the Alexandria database, functional PBE.

abc: 2.9846 3.8603 8.1766
angles: 90.00 90.00 90.00
Closest atoms and distances in Å follow each position.
Element x y z (fractional)
Sb 0.0000 0.0000 0.9128  4 Zn 2.92, 2 Sb 2.98, 1 Ta 3.00
Sb 0.5000 0.5000 0.3238  2 Sb 2.98, 4 Ta 3.04, 1 Zn 3.22
Zn 0.5000 0.5000 0.7171  4 Ta 2.81, 4 Sb 2.92, 2 Zn 2.98
Ta 0.0000 0.0000 0.5463  4 Zn 2.81, 2 Ta 2.98, 5 Sb 3.00-3.04

A relaxed TaZnSb2 crystal. Source: the Alexandria database, functional PBE.

abc: 4.7883 4.7883 3.5894
angles: 90.00 90.00 90.00
Closest atoms and distances in Å follow each position.
Element x y z (fractional)
Zn 0.0000 0.5000 0.5000  8 Sb 2.99
Ta 0.5000 0.0000 0.5000  8 Sb 2.99
Sb 0.0000 0.0000 0.0000  4 Ta 2.99, 4 Zn 2.99
Sb 0.5000 0.5000 0.0000  4 Ta 2.99, 4 Zn 2.99

A relaxed Ta2ZnSb crystal. Source: the Alexandria database, functional PBE.

Summary:
**Relative energy among the computed polymorphs**: 0.232 eV per atom

abc: 3.0841 3.0841 7.8112
angles: 90.00 90.00 99.57
Closest atoms and distances in Å follow each position.
Element x y z (fractional)
Zn 0.5000 0.5000 0.2500  8 Ta 2.68-2.96
Sb 0.5000 0.5000 0.7500  8 Ta 2.90-3.16, 4 Sb 3.08
Ta 0.0000 0.0000 0.0206  4 Zn 2.68-2.96, 2 Sb 2.90
Ta 0.0000 0.0000 0.4794  4 Zn 2.68-2.96, 2 Sb 2.90

A relaxed TaZn2Sb crystal. Source: the Alexandria database, functional PBE.

abc: 2.9757 2.9757 9.1053
angles: 90.00 90.00 89.78
Closest atoms and distances in Å follow each position.
Element x y z (fractional)
Zn 0.5000 0.5000 0.1787  8 Zn 2.69-2.98
Zn 0.0000 0.0000 0.9949  8 Zn 2.69-2.98, 4 Ta 2.84
Sb 0.0000 0.0000 0.5411  4 Sb 2.98, 4 Ta 3.06
Ta 0.5000 0.5000 0.7852  4 Zn 2.84, 4 Ta 2.98, 4 Sb 3.06

A relaxed TaZnSb2 crystal. Source: the Alexandria database, functional PBE.

abc: 5.1468 5.1468 5.4757
angles: 84.74 84.74 35.94
Closest atoms and distances in Å follow each position.
Element x y z (fractional)
Sb 0.4805 0.4805 0.5136  1 Zn 2.79, 3 Ta 2.95-3.05, 2 Sb 3.09
Sb 0.0195 0.0195 0.9864  1 Zn 2.79, 3 Ta 2.95-3.05, 2 Sb 3.09
Ta 0.7500 0.7500 0.7500  6 Sb 2.95-3.05, 4 Zn 3.16, 2 Ta 3.18
Zn 0.2500 0.2500 0.2500  2 Sb 2.79

A relaxed TaZn2Sb crystal. Source: the Alexandria database, functional PBE.

abc: 4.0818 4.1740 4.1740
angles: 90.00 90.00 90.00
Closest atoms and distances in Å follow each position.
Element x y z (fractional)
Zn 0.0000 0.0000 0.0000  4 Ta 2.92, 4 Sb 2.92, 4 Zn 2.95
Zn 0.0000 0.5000 0.5000  4 Ta 2.92, 4 Sb 2.92, 4 Zn 2.95
Ta 0.5000 0.0000 0.5000  8 Zn 2.92, 4 Sb 2.95
Sb 0.5000 0.5000 0.0000  8 Zn 2.92, 4 Ta 2.95

A relaxed TaZnSb2 crystal. Source: the Alexandria database, functional PBE.

abc: 5.7740 5.7740 5.7740
angles: 138.29 138.29 60.46
Closest atoms and distances in Å follow each position.
Element x y z (fractional)
Sb 0.0000 0.0000 0.0000  4 Ta 2.91, 4 Zn 3.23, 4 Sb 3.23
Sb 0.2500 0.7500 0.5000  4 Zn 2.91, 4 Ta 3.23, 4 Sb 3.23
Zn 0.7500 0.2500 0.5000  8 Sb 2.91-3.23, 4 Ta 3.23
Ta 0.5000 0.5000 0.0000  8 Sb 2.91-3.23, 4 Zn 3.23

A relaxed Ta2ZnSb crystal. Source: the Alexandria database, functional PBE.

Summary:
**Relative energy among the computed polymorphs**: 0.178 eV per atom

abc: 5.2106 5.2106 5.0130
angles: 80.61 80.61 33.40
Closest atoms and distances in Å follow each position.
Element x y z (fractional)
Ta 0.7558 0.7558 0.7237  3 Zn 2.86-2.91, 4 Sb 2.89-2.95, 5 Ta 2.99-3.12
Ta 0.9974 0.9974 0.0138  4 Zn 2.85-2.99, 3 Sb 2.91-2.94, 5 Ta 2.99-3.12
Zn 0.4972 0.4972 0.5307  7 Ta 2.85-2.99, 2 Zn 2.99, 3 Sb 3.09-3.10
Sb 0.2496 0.2496 0.2318  7 Ta 2.89-2.95, 2 Sb 2.99, 3 Zn 3.09-3.10

A relaxed TaZnSb2 crystal. Source: the Alexandria database, functional PBE.

abc: 3.6616 3.6467 7.0315
angles: 62.88 90.00 90.00
Closest atoms and distances in Å follow each position.
Element x y z (fractional)
Sb 0.0000 0.5330 0.4893  4 Zn 2.94-3.18, 4 Ta 2.97-3.00, 2 Sb 3.00-3.29
Sb 0.0000 0.9670 0.0107  4 Zn 2.94-3.18, 4 Ta 2.97-3.00, 2 Sb 3.00-3.29
Ta 0.5000 0.2500 0.2500  8 Sb 2.97-3.00, 2 Zn 3.14
Zn 0.5000 0.7500 0.7500  8 Sb 2.94-3.18, 2 Ta 3.14

A relaxed TaZnSb2 crystal. Source: the Alexandria database, functional PBE.

abc: 4.0355 3.8195 5.7724
angles: 70.67 90.00 90.00
Closest atoms and distances in Å follow each position.
Element x y z (fractional)
Zn 0.5000 0.5285 0.8178  5 Sb 2.69-2.81, 2 Ta 2.74
Sb 0.5000 0.2818 0.3113  1 Zn 2.69, 4 Ta 2.92
Sb 0.0000 0.9908 0.8940  4 Zn 2.81, 2 Ta 2.97
Ta 0.0000 0.6989 0.4769  2 Zn 2.74, 6 Sb 2.92-2.97

Short version: raw formation energy = 0.255; 1.175; 0.181; 0.345; 0.271; 0.194; 0.301; 0.269; 0.395; 0.217; 0.123; 0.021 eV/atom, in the order given.